# 1
## Co2Ag3 (GGA-PBE)

Data for Co2Ag3 after structural relaxation.

Geometry as POSCAR:
```
Co2Ag3
1.0
11.6470 -1.3731 0.0170
11.6470 1.3731 0.0170
11.4816 0.0000 2.3895
Co Ag
2 3
direct
0.6016 0.6016 0.6016
0.3984 0.3984 0.3984
0.7966 0.7966 0.7966
0.0000 0.0000 0.0000
0.2034 0.2034 0.2034
```

Output
The total magnetization is 2.8 μB per cell. Its energy is -4.15 eV per atom. The value obtained for the density of states at the Fermi level is 4.399 states/eV/f.u.

=====

# 2
## CoAg (GGA-PBE)

Data for CoAg after structural relaxation.

Geometry as POSCAR:
```
CoAg
1.0
-2.1997 3.0947 3.3982
1.0580 -3.3252 3.7131
4.5426 2.3446 0.8053
Co Ag
4 4
direct
0.3408 0.6592 0.0000
0.6592 0.3408 0.0000
0.1592 0.1592 0.5000
0.8408 0.8408 0.5000
0.3174 0.6826 0.5000
0.6826 0.3174 0.5000
0.1826 0.1826 0.0000
0.8174 0.8174 0.0000
```

Output
The total magnetization is 7.4 μB per cell. Its energy is -4.09 eV per atom. The value obtained for the density of states at the Fermi level is 2.650 states/eV/f.u.

=====

# 3
## CoAg5 (GGA-PBE)

Data for CoAg5 after structural relaxation.

Geometry as POSCAR:
```
CoAg5
1.0
3.4313 -1.2576 -4.2351
4.1993 -3.0174 -2.1336
-2.9668 -5.1933 -3.2647
Ag Co
5 1
direct
0.3310 0.3310 0.3333
0.9438 0.9438 0.6152
0.6700 0.6700 0.6809
0.6171 0.6171 0.2614
0.9918 0.9918 0.9996
0.2796 0.2796 0.9429
```

Output
The total magnetization is 1.7 μB per cell. The energy above the lowest structure with this stoichiometry is 0 meV/atom. The value obtained for the density of states at the Fermi level is 4.553 states/eV/f.u.

=====

# 4
## CoAg (GGA-PBE)

Data for CoAg after structural relaxation.

Geometry as POSCAR:
```
CoAg
1.0
-1.8485 2.5708 1.8053
-3.5064 -0.5291 0.8427
-0.9775 -0.5539 3.4674
Ag Co
1 1
direct
0.0000 0.0000 0.0000
0.5000 0.5000 0.5000
```

Output
The total magnetization is 2.0 μB per cell. Its energy is -3.89 eV per atom. The value obtained for the density of states at the Fermi level is 5.813 states/eV/f.u.